{
  "formula": "CsK6P",
  "functional": "GGA-PBE",
  "state": "relaxed",
  "lattice": [[11.125, -1.150, -3.086], [-3.976, 7.027, -2.536], [-1.685, 0.127, 8.292]],
  "species": ["P", "K", "K", "K", "K", "K", "K", "Cs"],
  "frac_coords": [[0.000, 0.000, 0.000], [0.261, 0.999, 0.347], [0.261, 0.347, 0.999], [0.915, 0.653, 0.653], [0.085, 0.347, 0.347], [0.739, 0.001, 0.653], [0.739, 0.653, 0.001], [0.500, 0.000, 0.000]],
  "formation_energy_mev_per_atom": -67,
  "dos_ef_per_ev_cell": 5.07,
  "final_energy_ev_per_atom": -1.673,
  "density_g_cm3": 1.153
}


{
  "formula": "Hf2CoGeSe",
  "functional": "GGA-PBE",
  "state": "relaxed",
  "lattice": [[-2.724, 3.465, 2.087], [-1.263, -2.770, 2.949], [3.775, 1.273, 2.813]],
  "species": ["Ge", "Hf", "Hf", "Co", "Se"],
  "frac_coords": [[0.000, 0.500, 0.000], [0.000, 0.000, 0.500], [0.500, 0.000, 0.000], [0.000, 0.000, 0.000], [0.500, 0.500, 0.500]],
  "raw_formation_energy_ev_per_atom": -0.157,
  "dos_ef_per_ev_cell": 3.13,
  "final_energy_ev_per_atom": -7.179,
  "density_g_cm3": 9.349
}


{
  "formula": "ZrBeW2",
  "functional": "GGA-PBE",
  "state": "relaxed",
  "lattice": [[3.375, 0.000, 0.000], [0.000, 4.269, 0.000], [0.000, 0.000, 4.478]],
  "species": ["W", "W", "Zr", "Be"],
  "frac_coords": [[0.500, 0.500, 0.000], [0.000, 0.000, 0.000], [0.500, 0.000, 0.500], [0.000, 0.500, 0.500]],
  "formation_energy_mev_per_atom": 201,
  "dos_ef_per_ev_cell": 2.63,
  "final_energy_ev_per_atom": -9.344,
  "density_g_cm3": 12.044
}


{
  "formula": "Na2NdAlGe2",
  "functional": "GGA-PBE",
  "state": "relaxed",
  "lattice": [[4.363, 0.000, 0.000], [0.000, 7.467, 0.000], [0.000, 0.000, 8.777]],
  "species": ["Na", "Na", "Na", "Na", "Nd", "Nd", "Ge", "Ge", "Ge", "Ge", "Al", "Al"],
  "frac_coords": [[0.500, 0.026, 0.080], [0.000, 0.847, 0.841], [0.000, 0.347, 0.159], [0.500, 0.526, 0.920], [0.000, 0.494, 0.560], [0.000, 0.994, 0.440], [0.500, 0.286, 0.388], [0.500, 0.786, 0.612], [0.000, 0.738, 0.176], [0.000, 0.238, 0.824], [0.500, 0.655, 0.321], [0.500, 0.155, 0.679]],
  "formation_energy_mev_per_atom": -399,
  "dos_ef_per_ev_cell": 1.16,
  "final_energy_ev_per_atom": -3.796,
  "density_g_cm3": 4.210
}


{
  "formula": "LiAg2F4",
  "functional": "GGA-PBE",
  "state": "relaxed",
  "lattice": [[-2.625, -6.188, -1.724], [3.826, -0.228, -5.007], [10.934, -4.508, -0.466]],
  "species": ["F", "F", "F", "F", "F", "F", "F", "F", "F", "F", "F", "F", "F", "F", "F", "F", "Ag", "Ag", "Ag", "Ag", "Ag", "Ag", "Ag", "Ag", "Li", "Li", "Li", "Li"],
  "frac_coords": [[0.783, 0.747, 0.732], [0.528, 0.736, 0.009], [0.823, 0.163, 0.885], [0.881, 0.292, 0.090], [0.381, 0.708, 0.410], [0.972, 0.736, 0.509], [0.619, 0.292, 0.590], [0.472, 0.264, 0.991], [0.217, 0.253, 0.268], [0.717, 0.747, 0.232], [0.028, 0.264, 0.491], [0.323, 0.837, 0.615], [0.677, 0.163, 0.385], [0.283, 0.253, 0.768], [0.177, 0.837, 0.115], [0.119, 0.708, 0.910], [0.316, 0.250, 0.556], [0.184, 0.250, 0.056], [0.550, 0.483, 0.747], [0.684, 0.750, 0.444], [0.950, 0.483, 0.247], [0.050, 0.517, 0.753], [0.816, 0.750, 0.944], [0.450, 0.517, 0.253], [0.287, 0.902, 0.943], [0.213, 0.902, 0.443], [0.787, 0.098, 0.557], [0.713, 0.098, 0.057]],
  "raw_formation_energy_ev_per_atom": -1.583,
  "dos_ef_per_ev_cell": 15.69,
  "polymorph_energy_mev_per_atom": 14,
  "final_energy_ev_per_atom": -3.741,
  "density_g_cm3": 4.813
}


{
  "formula": "BeAl2Cd",
  "functional": "GGA-PBE",
  "state": "relaxed",
  "lattice": [[3.856, 0.000, 0.000], [0.000, 2.787, 0.014], [0.000, 2.737, 6.152]],
  "species": ["Al", "Al", "Be", "Cd"],
  "frac_coords": [[0.000, 0.964, 0.036], [0.500, 0.220, 0.280], [0.000, 0.554, 0.447], [0.500, 0.763, 0.736]],
  "formation_energy_mev_per_atom": 263,
  "dos_ef_per_ev_cell": 1.18,
  "polymorph_energy_mev_per_atom": 52,
  "final_energy_ev_per_atom": -2.769,
  "density_g_cm3": 4.416
}


{
  "formula": "Pm2Ni3P2",
  "functional": "GGA-PBE",
  "state": "relaxed",
  "lattice": [[-0.698, -1.624, 3.289], [5.415, 0.871, -0.540], [-3.776, 5.312, 1.822]],
  "species": ["Pm", "Pm", "P", "P", "Ni", "Ni", "Ni"],
  "frac_coords": [[0.131, 0.263, 0.766], [0.869, 0.737, 0.234], [0.851, 0.702, 0.776], [0.149, 0.298, 0.224], [0.500, 0.000, 0.000], [0.350, 0.701, 0.577], [0.650, 0.299, 0.423]],
  "formation_energy_mev_per_atom": -830,
  "dos_ef_per_ev_cell": 3.89,
  "final_energy_ev_per_atom": -6.211,
  "density_g_cm3": 7.623
}


{
  "formula": "ScGaHgAs2",
  "functional": "GGA-PBE",
  "state": "relaxed",
  "lattice": [[-3.657, 1.615, 3.164], [-1.708, -5.328, 0.745], [3.199, -0.474, 3.941]],
  "species": ["Sc", "As", "As", "Hg", "Ga"],
  "frac_coords": [[0.000, 0.000, 0.000], [0.500, 0.000, 0.000], [0.000, 0.000, 0.500], [0.000, 0.500, 0.000], [0.500, 0.500, 0.500]],
  "formation_energy_mev_per_atom": 85,
  "dos_ef_per_ev_cell": 1.88,
  "final_energy_ev_per_atom": -3.707,
  "density_g_cm3": 5.264
}


{
  "formula": "ZrOs2Rh",
  "functional": "GGA-PBE",
  "state": "relaxed",
  "lattice": [[2.806, 0.000, 0.000], [0.000, 3.941, 0.000], [0.000, 0.000, 5.854]],
  "species": ["Os", "Os", "Zr", "Rh"],
  "frac_coords": [[0.000, 0.000, 0.467], [0.000, 0.000, 0.033], [0.500, 0.500, 0.750], [0.500, 0.500, 0.250]],
  "formation_energy_mev_per_atom": 13,
  "dos_ef_per_ev_cell": 5.21,
  "polymorph_energy_mev_per_atom": 225,
  "final_energy_ev_per_atom": -9.577,
  "density_g_cm3": 14.741
}


{
  "formula": "KTl6",
  "functional": "GGA-PBE",
  "state": "relaxed",
  "lattice": [[6.892, 0.000, 0.000], [0.000, 10.465, 0.000], [0.000, 0.000, 13.141]],
  "species": ["Tl", "Tl", "Tl", "Tl", "Tl", "Tl", "Tl", "Tl", "Tl", "Tl", "Tl", "Tl", "Tl", "Tl", "Tl", "Tl", "Tl", "Tl", "Tl", "Tl", "Tl", "Tl", "Tl", "Tl", "K", "K", "K", "K"],
  "frac_coords": [[0.513, 0.559, 0.811], [0.750, 0.695, 0.267], [0.987, 0.559, 0.811], [0.250, 0.805, 0.767], [0.750, 0.357, 0.650], [0.750, 0.108, 0.475], [0.487, 0.441, 0.189], [0.013, 0.941, 0.311], [0.750, 0.857, 0.850], [0.013, 0.441, 0.189], [0.250, 0.892, 0.525], [0.250, 0.305, 0.733], [0.250, 0.643, 0.350], [0.250, 0.143, 0.150], [0.250, 0.557, 0.586], [0.987, 0.059, 0.689], [0.250, 0.392, 0.975], [0.750, 0.195, 0.233], [0.750, 0.443, 0.414], [0.750, 0.943, 0.086], [0.750, 0.608, 0.025], [0.250, 0.057, 0.914], [0.487, 0.941, 0.311], [0.513, 0.059, 0.689], [0.750, 0.245, 0.934], [0.750, 0.745, 0.566], [0.250, 0.255, 0.434], [0.250, 0.755, 0.066]],
  "formation_energy_mev_per_atom": -43,
  "dos_ef_per_ev_cell": 11.14,
  "polymorph_energy_mev_per_atom": 0,
  "final_energy_ev_per_atom": -2.228,
  "density_g_cm3": 8.867
}


{
  "formula": "Sr2LiY",
  "functional": "GGA-PBE",
  "state": "relaxed",
  "lattice": [[0.020, -1.988, -3.449], [3.792, -1.038, 0.620], [-2.990, -8.134, 4.671]],
  "species": ["Sr", "Sr", "Li", "Y"],
  "frac_coords": [[0.000, 0.000, 0.945], [0.500, 0.500, 0.278], [0.500, 0.500, 0.723], [0.000, 0.000, 0.554]],
  "formation_energy_mev_per_atom": 138,
  "dos_ef_per_ev_cell": 5.66,
  "polymorph_energy_mev_per_atom": 0,
  "final_energy_ev_per_atom": -2.798,
  "density_g_cm3": 2.886
}


{
  "formula": "Pm4Y3Ho",
  "functional": "GGA-PBE",
  "state": "relaxed",
  "lattice": [[6.338, 0.000, 0.000], [0.000, 7.342, 0.000], [0.000, 0.000, 11.542]],
  "species": ["Pm", "Pm", "Pm", "Pm", "Pm", "Pm", "Pm", "Pm", "Ho", "Ho", "Y", "Y", "Y", "Y", "Y", "Y"],
  "frac_coords": [[0.981, 0.126, 0.249], [0.148, 0.874, 0.500], [0.150, 0.874, 0.000], [0.650, 0.126, 0.500], [0.981, 0.126, 0.751], [0.481, 0.874, 0.251], [0.481, 0.874, 0.749], [0.648, 0.126, 0.000], [0.146, 0.377, 0.000], [0.646, 0.623, 0.500], [0.981, 0.623, 0.750], [0.981, 0.623, 0.250], [0.147, 0.377, 0.500], [0.647, 0.623, 0.000], [0.481, 0.377, 0.750], [0.481, 0.377, 0.250]],
  "formation_energy_mev_per_atom": 21,
  "dos_ef_per_ev_cell": 30.20,
  "polymorph_energy_mev_per_atom": 0,
  "final_energy_ev_per_atom": -5.351,
  "density_g_cm3": 6.256
}


{
  "formula": "NdGa2I8",
  "functional": "GGA-PBE",
  "state": "relaxed",
  "lattice": [[-2.679, 2.132, 6.475], [4.727, -5.587, 5.275], [6.833, 5.303, 2.560]],
  "species": ["I", "I", "I", "I", "I", "I", "I", "I", "Nd", "Ga", "Ga"],
  "frac_coords": [[0.776, 0.081, 0.718], [0.160, 0.384, 0.384], [0.704, 0.197, 0.197], [0.224, 0.282, 0.919], [0.776, 0.718, 0.081], [0.296, 0.803, 0.803], [0.224, 0.919, 0.282], [0.840, 0.616, 0.616], [0.000, 0.000, 0.000], [0.672, 0.795, 0.795], [0.328, 0.205, 0.205]],
  "raw_formation_energy_ev_per_atom": -0.738,
  "dos_ef_per_ev_cell": 4.28,
  "final_energy_ev_per_atom": -2.849,
  "density_g_cm3": 3.759
}


{
  "formula": "Mg3Si4",
  "functional": "GGA-PBE",
  "state": "relaxed",
  "lattice": [[-1.524, 4.244, -4.234], [-1.089, -7.267, -0.755], [-5.880, 0.444, 4.629]],
  "species": ["Mg", "Mg", "Mg", "Mg", "Mg", "Mg", "Si", "Si", "Si", "Si", "Si", "Si", "Si", "Si"],
  "frac_coords": [[0.869, 0.145, 0.416], [0.817, 0.837, 0.769], [0.418, 0.604, 0.368], [0.689, 0.153, 0.937], [0.233, 0.141, 0.160], [0.500, 0.305, 0.598], [0.661, 0.834, 0.116], [0.422, 0.904, 0.593], [0.589, 0.506, 0.975], [0.891, 0.487, 0.219], [0.138, 0.284, 0.793], [0.937, 0.688, 0.489], [0.222, 0.776, 0.055], [0.114, 0.590, 0.759]],
  "raw_formation_energy_ev_per_atom": 0.113,
  "dos_ef_per_ev_cell": 2.63,
  "polymorph_energy_mev_per_atom": 61,
  "final_energy_ev_per_atom": -3.669,
  "density_g_cm3": 2.246
}


{
  "formula": "SrCu2F",
  "functional": "GGA-PBE",
  "state": "relaxed",
  "lattice": [[0.000, 3.435, 3.435], [3.435, 0.000, 3.435], [3.435, 3.435, 0.000]],
  "species": ["Cu", "Cu", "Sr", "F"],
  "frac_coords": [[0.250, 0.250, 0.250], [0.750, 0.750, 0.750], [0.500, 0.500, 0.500], [0.000, 0.000, 0.000]],
  "raw_formation_energy_ev_per_atom": -0.125,
  "dos_ef_per_ev_cell": 5.47,
  "polymorph_energy_mev_per_atom": 1040,
  "final_energy_ev_per_atom": -3.062,
  "density_g_cm3": 4.789
}


{
  "formula": "ReBiAsP2",
  "functional": "GGA-PBE",
  "state": "relaxed",
  "lattice": [[-1.377, 2.550, -3.849], [-3.948, 1.182, 2.195], [2.173, 3.901, 1.808]],
  "species": ["P", "P", "As", "Bi", "Re"],
  "frac_coords": [[0.500, 0.000, 0.000], [0.000, 0.000, 0.500], [0.000, 0.000, 0.000], [0.500, 0.500, 0.500], [0.000, 0.500, 0.000]],
  "formation_energy_mev_per_atom": 1269,
  "dos_ef_per_ev_cell": 3.79,
  "final_energy_ev_per_atom": -5.091,
  "density_g_cm3": 8.152
}


{
  "formula": "HfVSeBr2",
  "functional": "GGA-PBE",
  "state": "relaxed",
  "lattice": [[4.938, 0.000, 0.000], [0.000, 4.938, 0.000], [0.000, 0.000, 5.099]],
  "species": ["V", "Br", "Br", "Se", "Hf"],
  "frac_coords": [[0.000, 0.000, 0.000], [0.500, 0.000, 0.000], [0.000, 0.500, 0.000], [0.000, 0.000, 0.500], [0.500, 0.500, 0.500]],
  "raw_formation_energy_ev_per_atom": 0.195,
  "dos_ef_per_ev_cell": 4.48,
  "polymorph_energy_mev_per_atom": 224,
  "final_energy_ev_per_atom": -4.986,
  "density_g_cm3": 6.253
}


{
  "formula": "TiNbCoBr",
  "functional": "GGA-PBE",
  "state": "relaxed",
  "lattice": [[-1.773, 2.512, 0.625], [-3.891, -2.895, 0.622], [2.793, -0.975, 3.943]],
  "species": ["Ti", "Nb", "Br", "Co"],
  "frac_coords": [[0.725, 0.074, 0.630], [0.506, 0.434, 0.194], [0.420, 0.901, 0.018], [0.206, 0.489, 0.594]],
  "raw_formation_energy_ev_per_atom": 0.160,
  "dos_ef_per_ev_cell": 5.11,
  "polymorph_energy_mev_per_atom": 364,
  "final_energy_ev_per_atom": -6.526,
  "density_g_cm3": 6.680
}


{
  "formula": "Na5Sr2Li",
  "functional": "GGA-PBE",
  "state": "relaxed",
  "lattice": [[-0.526, 4.383, 4.128], [-4.252, -3.204, 2.861], [8.456, -4.369, 1.292]],
  "species": ["Na", "Na", "Na", "Na", "Na", "Li", "Sr", "Sr"],
  "frac_coords": [[0.896, 0.396, 0.791], [0.396, 0.896, 0.791], [0.104, 0.604, 0.209], [0.604, 0.104, 0.209], [0.500, 0.500, 0.000], [0.000, 0.000, 0.000], [0.753, 0.753, 0.506], [0.247, 0.247, 0.494]],
  "formation_energy_mev_per_atom": 45,
  "dos_ef_per_ev_cell": 4.94,
  "polymorph_energy_mev_per_atom": 0,
  "final_energy_ev_per_atom": -1.439,
  "density_g_cm3": 1.570
}


{
  "formula": "Sm4As2PS",
  "functional": "GGA-PBE",
  "state": "relaxed",
  "lattice": [[4.144, 0.000, 0.000], [0.000, 7.161, -0.143], [0.000, 2.518, 6.713]],
  "species": ["S", "As", "As", "Sm", "Sm", "Sm", "Sm", "P"],
  "frac_coords": [[0.500, 0.500, 0.000], [0.500, 0.000, 0.500], [0.000, 0.000, 0.000], [0.500, 0.255, 0.746], [0.500, 0.745, 0.254], [0.000, 0.747, 0.748], [0.000, 0.253, 0.252], [0.000, 0.500, 0.500]],
  "raw_formation_energy_ev_per_atom": -1.703,
  "dos_ef_per_ev_cell": 1.35,
  "final_energy_ev_per_atom": -6.417,
  "density_g_cm3": 6.738
}


{
  "formula": "AgIr3Se",
  "functional": "GGA-PBE",
  "state": "relaxed",
  "lattice": [[-3.635, -0.035, 2.793], [-2.793, -0.015, -3.635], [0.037, -4.584, -0.010]],
  "species": ["Ir", "Ir", "Ir", "Se", "Ag"],
  "frac_coords": [[0.000, 0.500, 0.000], [0.500, 0.000, 0.000], [0.000, 0.000, 0.500], [0.000, 0.000, 0.000], [0.500, 0.500, 0.500]],
  "raw_formation_energy_ev_per_atom": 1.206,
  "dos_ef_per_ev_cell": 4.77,
  "polymorph_energy_mev_per_atom": 0,
  "final_energy_ev_per_atom": -5.378,
  "density_g_cm3": 13.164
}


{
  "formula": "Li3HfCr",
  "functional": "GGA-PBE",
  "state": "relaxed",
  "lattice": [[4.518, 0.000, 0.000], [0.000, 4.518, 0.000], [0.000, 0.000, 4.518]],
  "species": ["Li", "Li", "Li", "Hf", "Cr"],
  "frac_coords": [[0.500, 0.000, 0.000], [0.000, 0.000, 0.500], [0.000, 0.500, 0.000], [0.500, 0.500, 0.500], [0.000, 0.000, 0.000]],
  "formation_energy_mev_per_atom": 1012,
  "dos_ef_per_ev_cell": 3.79,
  "polymorph_energy_mev_per_atom": 0,
  "final_energy_ev_per_atom": -4.052,
  "density_g_cm3": 4.524
}


{
  "formula": "Mg6HgPb12",
  "functional": "GGA-PBE",
  "state": "relaxed",
  "lattice": [[-3.213, 7.990, 3.132], [-6.676, -5.184, -3.540], [4.738, -4.500, 6.425]],
  "species": ["Mg", "Mg", "Mg", "Mg", "Mg", "Mg", "Pb", "Pb", "Pb", "Pb", "Pb", "Pb", "Pb", "Pb", "Pb", "Pb", "Pb", "Pb", "Hg"],
  "frac_coords": [[0.309, 0.212, 0.455], [0.691, 0.788, 0.545], [0.455, 0.309, 0.212], [0.545, 0.691, 0.788], [0.788, 0.545, 0.691], [0.212, 0.455, 0.309], [0.099, 0.739, 0.157], [0.901, 0.261, 0.843], [0.411, 0.912, 0.611], [0.739, 0.157, 0.099], [0.843, 0.901, 0.261], [0.157, 0.099, 0.739], [0.389, 0.589, 0.088], [0.912, 0.611, 0.411], [0.088, 0.389, 0.589], [0.611, 0.411, 0.912], [0.589, 0.088, 0.389], [0.261, 0.843, 0.901], [0.000, 0.000, 0.000]],
  "formation_energy_mev_per_atom": 2,
  "dos_ef_per_ev_cell": 11.16,
  "final_energy_ev_per_atom": -2.860,
  "density_g_cm3": 8.744
}